Material: Bi2AsP
Method: DFT, PBE-GGA
State: relaxed

Summary:
Calculated volume, A^3/atom: 29.19
Total magnetic moment, Bohr magnetons per cell: 0.0
Energy above the lowest structure with this stoichiometry, meV per atom: 0
Symmetry: R3m
DFT formation energy, eV per atom: 0.09

```
Bi2AsP
1.0
-1.810 -3.516 1.015
2.236 -3.382 0.484
1.112 -0.537 8.333
Bi P As
2 1 1
Cartesian
0.347 -1.926 2.159
0.841 -1.029 6.147
0.814 -3.635 5.283
0.304 -4.563 1.160
```

***

Material: KTeAs
Method: DFT, PBE-GGA
State: relaxed

Summary:
Formation energy (no corrections), eV/atom: 0.286
Calculated volume, A^3/atom: 30.42
Total magnetic moment, Bohr magnetons per cell: 0.5
Energy above the lowest structure with this stoichiometry, meV per atom: 769
Symmetry: P3m1

```
KTeAs
1.0
3.307 0.000 0.000
-1.653 2.864 0.000
0.000 0.000 9.637
Te K As
1 1 1
Cartesian
0.000 1.909 6.100
1.653 0.955 3.149
0.000 0.000 0.387
```

***

Material: Pr5Nd3Hg2
Method: DFT, PBE-GGA
State: relaxed

Summary:
Calculated volume, A^3/atom: 35.16
Total magnetic moment, Bohr magnetons per cell: 0.0
Symmetry: Ibam
DFT formation energy, eV per atom: 0.04

```
Pr5Nd3Hg2
1.0
-6.345 0.342 2.715
-6.006 -7.720 -4.269
-0.179 -5.603 9.081
Pr Hg Nd
10 4 6
Cartesian
-5.249 -4.909 5.938
-7.851 -6.405 4.443
-7.280 -8.072 1.590
-4.640 -9.832 3.585
-4.679 -6.576 3.085
-4.136 -5.828 -0.138
-7.813 -9.661 4.942
-4.717 -3.320 2.585
-8.393 -7.153 7.666
-7.889 -3.149 3.943
-5.453 -11.240 6.259
-10.131 -11.616 4.168
-2.398 -1.365 3.360
-7.076 -1.741 1.268
-1.586 0.086 0.679
-7.883 -5.028 -0.202
-4.646 -7.953 7.729
-11.007 -8.940 1.782
-4.758 0.257 2.036
-1.522 -4.041 5.745
```

***

Material: KScTa2
Method: DFT, PBE-GGA
State: relaxed

Summary:
Calculated volume, A^3/atom: 22.10
Total magnetic moment, Bohr magnetons per cell: 0.0
Energy above the lowest structure with this stoichiometry, meV per atom: 678
Symmetry: P4/mmm
DFT formation energy, eV per atom: 1.24

```
KScTa2
1.0
-0.336 -5.070 1.646
3.311 0.529 2.305
-2.351 1.165 3.109
Sc Ta K
1 2 1
Cartesian
-1.343 -1.952 2.378
0.480 0.847 2.707
0.000 0.000 0.000
1.487 -2.271 1.975
```

***

Material: K3PbSe
Method: DFT, PBE-GGA
State: relaxed

Summary:
Formation energy (no corrections), eV/atom: -0.406
Calculated volume, A^3/atom: 49.76
Total magnetic moment, Bohr magnetons per cell: 3.0
Energy above the lowest structure with this stoichiometry, meV per atom: 0
Symmetry: Pm-3m

```
K3PbSe
1.0
-5.629 -2.235 -1.696
2.731 -5.236 -2.165
-0.642 -2.674 5.656
K Pb Se
3 1 1
Cartesian
-0.321 -1.337 2.828
1.365 -2.618 -1.083
-2.815 -1.117 -0.848
-1.770 -5.072 0.897
0.000 0.000 0.000
```

***

Material: ZnRe3
Method: DFT, PBE-GGA
State: relaxed

Summary:
Calculated volume, A^3/atom: 14.63
Total magnetic moment, Bohr magnetons per cell: 0.0
Symmetry: P4/mmm
DFT formation energy, eV per atom: 0.30

```
ZnRe3
1.0
-2.355 1.950 0.589
-1.946 -1.887 -1.533
-1.170 -2.961 5.130
Zn Re
1 3
Cartesian
-3.028 -2.189 3.375
-0.595 -1.507 2.611
-2.443 -0.709 0.810
-1.159 -2.934 5.083
```